Below is crystalline K2AcVSe4 at its relaxed geometry, with properties calculated at the GGA-PBE level.

Results
N(E_F) in states/eV/atom: 0.08
E_form (uncorrected) in eV/atom: -1.14
Calculated density in g/cm³: 3.9

Cell lengths 7.260, 7.260, 7.260 Å; angles 97.18, 115.94, 115.94 degrees
Last column: magnetic moment on the atom in μB.
Sites, in units of the cell vectors:
K 0.500 0.750 0.250  0.00
Se 0.977 0.588 0.179  -0.03
V 0.000 0.500 0.500  1.84
K 0.000 0.000 0.000  0.00
Se 0.023 0.202 0.611  -0.03
Se 0.410 0.821 0.798  -0.03
Se 0.590 0.389 0.412  -0.03
Ac 0.500 0.250 0.750  0.02